Record 1
Compound: PbSeBr2
Source: the Alexandria database
Functional: PBE
Structure: optimized geometry

Unit cell a=4.4213 b=5.9065 c=7.4982 alpha=50.71 beta=90.00 gamma=90.00
Atoms (fractional coordinates):
Pb (0.0000, 0.5363, 0.5125)
Br (0.5000, 0.2298, 0.3467)
Br (0.0000, 0.0156, 0.9779)
Se (0.5000, 0.7182, 0.6629)

Properties
The energy above the most stable polymorph in this dataset is 0.20 eV/f.u. The symmetry is Pm, No. 6. As for the raw formation energy: -0.415 eV per atom.

Record 2
Compound: TaHgBi3
Source: the Alexandria database
Functional: PBE
Structure: optimized geometry

Unit cell a=5.5306 b=5.5306 c=5.5306 alpha=90.00 beta=90.00 gamma=90.00
Atoms (fractional coordinates):
Ta (0.0000, 0.0000, 0.0000)
Hg (0.5000, 0.5000, 0.5000)
Bi (0.0000, 0.0000, 0.5000)
Bi (0.5000, 0.0000, 0.0000)
Bi (0.0000, 0.5000, 0.0000)

Properties
The energy above the most stable polymorph in this dataset is 0.00 eV/f.u. The density of states at the Fermi level comes out at 3.76 states/eV/f.u. The symmetry is Pm-3m, No. 221.

Record 3
Compound: TiBiSe2
Source: the Alexandria database
Functional: PBE
Structure: optimized geometry

Unit cell a=3.7133 b=3.7133 c=9.1716 alpha=90.00 beta=90.00 gamma=120.00
Site moments in Bohr magnetons follow the coordinates.
Atoms (fractional coordinates):
Bi (0.0000, 0.0000, 0.9487)  0.10
Se (0.6667, 0.3333, 0.3202)  -0.04
Se (0.3333, 0.6667, 0.7249)  -0.03
Ti (0.3333, 0.6667, 0.4612)  0.84

Properties
The density of states at the Fermi level comes out at 3.94 states/eV/f.u. The symmetry is P3m1, No. 156. As for the raw formation energy: -0.398 eV per atom.

Record 4
Compound: Ca3MnCl8
Source: the Alexandria database
Functional: PBE
Structure: optimized geometry

Unit cell a=8.0531 b=8.0528 c=7.9368 alpha=120.94 beta=90.00 gamma=120.00
Site moments in Bohr magnetons follow the coordinates.
Atoms (fractional coordinates):
Cl (0.7422, 0.4843, 0.2234)  0.00
Cl (0.7698, 0.5396, 0.7822)  0.03
Cl (0.2578, 0.5157, 0.7766)  0.00
Cl (0.7603, 0.9905, 0.2176)  0.03
Cl (0.2397, 0.0095, 0.7824)  0.03
Cl (0.7698, 0.0095, 0.7824)  0.03
Cl (0.2302, 0.9905, 0.2176)  0.03
Cl (0.2302, 0.4604, 0.2178)  0.03
Ca (0.5000, 0.5000, 0.0000)  0.00
Ca (0.0000, 0.5000, 0.0000)  0.00
Ca (0.5000, 0.0000, 0.0000)  0.00
Mn (0.0000, 0.0000, 0.0000)  4.46

Properties
The density of states at the Fermi level comes out at 0.00 states/eV/f.u. The symmetry is C2/m, No. 12. As for the raw formation energy: -2.051 eV per atom.

Record 5
Compound: Nd4IrAu2
Source: the Alexandria database
Functional: PBE
Structure: optimized geometry

Unit cell a=5.1438 b=5.1438 c=8.9837 alpha=73.36 beta=73.36 gamma=60.00
Atoms (fractional coordinates):
Nd (0.8802, 0.8802, 0.3593)
Nd (0.3705, 0.3705, 0.8884)
Nd (0.6295, 0.6295, 0.1116)
Nd (0.1198, 0.1198, 0.6407)
Ir (0.0000, 0.0000, 0.0000)
Au (0.7588, 0.7588, 0.7237)
Au (0.2412, 0.2412, 0.2763)

Properties
The density of states at the Fermi level comes out at 7.70 states/eV/f.u. The symmetry is R-3m, No. 166. Its calculated total energy is -5.509 eV per atom.

Record 6
Compound: Ca2TbAu3
Source: the Alexandria database
Functional: PBE
Structure: optimized geometry

Unit cell a=3.6278 b=5.1057 c=8.1536 alpha=108.25 beta=90.00 gamma=90.00
Atoms (fractional coordinates):
Au (0.5000, 0.5000, 0.0000)
Au (0.5000, 0.8431, 0.6862)
Au (0.5000, 0.1569, 0.3138)
Tb (0.0000, 0.0000, 0.0000)
Ca (0.0000, 0.6690, 0.3380)
Ca (0.0000, 0.3310, 0.6620)

Properties
The density of states at the Fermi level comes out at 3.79 states/eV/f.u. The symmetry is Cmmm, No. 65. Its calculated total energy is -3.892 eV per atom.

Record 7
Compound: SnPb2Se4
Source: the Alexandria database
Functional: PBE
Structure: optimized geometry

Unit cell a=7.4794 b=7.4794 c=6.2740 alpha=115.32 beta=115.32 gamma=106.40
Atoms (fractional coordinates):
Se (0.1124, 0.7011, 0.8135)
Se (0.9246, 0.9247, 0.3325)
Se (0.7011, 0.1125, 0.8135)
Se (0.4078, 0.4079, 0.3325)
Sn (0.0169, 0.0169, 0.0338)
Pb (0.1686, 0.6687, 0.3373)
Pb (0.6686, 0.1687, 0.3373)

Properties
The energy above the most stable polymorph in this dataset is 0.00 eV/f.u. The symmetry is Fmm2, No. 42. As for the raw formation energy: -0.395 eV per atom.

Record 8
Compound: Ba2SrLiCl
Source: the Alexandria database
Functional: PBE
Structure: optimized geometry

Unit cell a=6.6312 b=6.6312 c=5.0327 alpha=90.00 beta=90.00 gamma=90.00
Site moments in Bohr magnetons follow the coordinates.
Atoms (fractional coordinates):
Sr (0.5000, 0.5000, 0.5000)  0.05
Ba (0.0000, 0.5000, 0.0000)  0.09
Ba (0.5000, 0.0000, 0.0000)  0.09
Cl (0.0000, 0.0000, 0.0000)  0.03
Li (0.0000, 0.0000, 0.5000)  0.04

Properties
The energy above the most stable polymorph in this dataset is 0.00 eV/f.u. The density of states at the Fermi level comes out at 5.71 states/eV/f.u. The symmetry is P4/mmm, No. 123. As for the raw formation energy: -0.589 eV per atom.

Record 9
Compound: Sb2AsPb
Source: the Alexandria database
Functional: PBE
Structure: optimized geometry

Unit cell a=5.8990 b=3.1992 c=6.9936 alpha=63.35 beta=90.00 gamma=90.00
Atoms (fractional coordinates):
Sb (0.5000, 0.4476, 0.3706)
Sb (0.0000, 0.9217, 0.9292)
Pb (0.5000, 0.6543, 0.8476)
As (0.0000, 0.4764, 0.3526)

Properties
The energy above the most stable polymorph in this dataset is 0.39 eV/f.u. The density of states at the Fermi level comes out at 1.45 states/eV/f.u. The symmetry is Pm, No. 6. As for the raw formation energy: 0.123 eV per atom.

Record 10
Compound: As2OsPt
Source: the Alexandria database
Functional: PBE
Structure: optimized geometry

Unit cell a=6.3659 b=6.3659 c=6.3659 alpha=154.01 beta=137.74 gamma=50.28
Atoms (fractional coordinates):
Os (0.7500, 0.2500, 0.5000)
As (0.5729, 0.5729, 0.0000)
As (0.9271, 0.9271, 0.0000)
Pt (0.2500, 0.7500, 0.5000)

Properties
The energy above the most stable polymorph in this dataset is 0.81 eV/f.u. The density of states at the Fermi level comes out at 3.97 states/eV/f.u. The symmetry is Immm, No. 71.

Record 11
Compound: CaCo2Cl
Source: the Alexandria database
Functional: PBE
Structure: optimized geometry

Unit cell a=5.6259 b=3.4308 c=4.0823 alpha=90.38 beta=90.00 gamma=90.00
Site moments in Bohr magnetons follow the coordinates.
Atoms (fractional coordinates):
Ca (0.5000, 0.2500, 0.2500)  -0.07
Co (0.0000, 0.9987, 0.0680)  1.81
Co (0.0000, 0.5013, 0.4320)  1.81
Cl (0.5000, 0.7500, 0.7500)  0.01

Properties
The energy above the most stable polymorph in this dataset is 0.87 eV/f.u. The density of states at the Fermi level comes out at 2.37 states/eV/f.u. The symmetry is P2/m, No. 10. As for the raw formation energy: -0.046 eV per atom.

Record 12
Compound: CaPm2Cd
Source: the Alexandria database
Functional: PBE
Structure: optimized geometry

Unit cell a=4.8599 b=5.0654 c=5.0654 alpha=90.00 beta=90.00 gamma=90.00
Atoms (fractional coordinates):
Ca (0.5000, 0.0000, 0.0000)
Pm (0.0000, 0.0000, 0.5000)
Pm (0.0000, 0.5000, 0.0000)
Cd (0.5000, 0.5000, 0.5000)

Properties
The energy above the most stable polymorph in this dataset is 0.14 eV/f.u. The density of states at the Fermi level comes out at 5.11 states/eV/f.u. The symmetry is P4/mmm, No. 123.

Record 13
Compound: SrZr2TcN4
Source: the Alexandria database
Functional: PBE
Structure: optimized geometry

Unit cell a=3.3324 b=5.9813 c=11.5924 alpha=90.00 beta=90.00 gamma=106.17
Atoms (fractional coordinates):
N (0.7400, 0.4800, 0.6090)
N (0.7400, 0.4800, 0.8910)
N (0.0000, 0.0000, 0.5000)
N (0.2600, 0.5200, 0.1090)
N (0.5705, 0.1410, 0.2500)
N (0.2600, 0.5200, 0.3910)
N (0.0000, 0.0000, 0.0000)
N (0.4295, 0.8590, 0.7500)
Zr (0.3669, 0.7337, 0.9599)
Zr (0.3669, 0.7337, 0.5401)
Zr (0.6331, 0.2663, 0.0401)
Zr (0.6331, 0.2663, 0.4599)
Tc (0.8443, 0.6885, 0.7500)
Tc (0.1557, 0.3115, 0.2500)
Sr (0.8912, 0.7824, 0.2500)
Sr (0.1088, 0.2176, 0.7500)

Properties
The density of states at the Fermi level comes out at 2.46 states/eV/f.u. The symmetry is Cmcm, No. 63. As for the raw formation energy: -1.019 eV per atom.

Record 14
Compound: LiHoPb2
Source: the Alexandria database
Functional: PBE
Structure: optimized geometry

Unit cell a=4.4767 b=4.4767 c=7.1230 alpha=71.68 beta=71.68 gamma=60.00
Atoms (fractional coordinates):
Ho (0.6745, 0.6745, 0.9765)
Pb (0.2418, 0.2418, 0.2747)
Pb (0.0927, 0.0927, 0.7220)
Li (0.4910, 0.4910, 0.5269)

Properties
The density of states at the Fermi level comes out at 2.11 states/eV/f.u. The symmetry is R3m, No. 160. Its calculated total energy is -3.626 eV per atom.

Record 15
Compound: Pr2Mg2Al15
Source: the Alexandria database
Functional: PBE
Structure: optimized geometry

Unit cell a=7.1806 b=7.1806 c=7.1806 alpha=83.18 beta=83.18 gamma=83.18
Atoms (fractional coordinates):
Al (0.7055, 0.2945, 0.0000)
Al (0.3507, 0.3507, 0.8450)
Al (0.6493, 0.6493, 0.1550)
Al (0.5000, 0.0000, 0.0000)
Al (0.7055, 0.0000, 0.2945)
Al (0.3507, 0.8450, 0.3507)
Al (0.1550, 0.6493, 0.6493)
Al (0.0000, 0.5000, 0.0000)
Al (0.2945, 0.7055, 0.0000)
Al (0.0000, 0.2945, 0.7055)
Al (0.0000, 0.7055, 0.2945)
Al (0.0000, 0.0000, 0.5000)
Al (0.6493, 0.1550, 0.6493)
Al (0.8450, 0.3507, 0.3507)
Al (0.2945, 0.0000, 0.7055)
Pr (0.3521, 0.3521, 0.3521)
Pr (0.6479, 0.6479, 0.6479)
Mg (0.1032, 0.1032, 0.1032)
Mg (0.8968, 0.8968, 0.8968)

Properties
The density of states at the Fermi level comes out at 10.44 states/eV/f.u. The symmetry is R-3m, No. 166. Its calculated total energy is -3.777 eV per atom.

Record 16
Compound: MnBr2Cl
Source: the Alexandria database
Functional: PBE
Structure: optimized geometry

Unit cell a=5.0208 b=5.0208 c=5.0208 alpha=60.00 beta=60.00 gamma=60.00
Site moments in Bohr magnetons follow the coordinates.
Atoms (fractional coordinates):
Br (0.2500, 0.2500, 0.2500)  -0.14
Br (0.7500, 0.7500, 0.7500)  -0.14
Mn (0.5000, 0.5000, 0.5000)  4.42
Cl (0.0000, 0.0000, 0.0000)  -0.31

Properties
The energy above the most stable polymorph in this dataset is 3.24 eV/f.u. The density of states at the Fermi level comes out at 3.56 states/eV/f.u. The symmetry is Fm-3m, No. 225. As for the raw formation energy: 0.092 eV per atom.

Record 17
Compound: TeCSe3
Source: the Alexandria database
Functional: PBE
Structure: optimized geometry

Unit cell a=4.5330 b=4.5330 c=4.5330 alpha=90.00 beta=90.00 gamma=90.00
Atoms (fractional coordinates):
Se (0.0000, 0.5000, 0.0000)
Se (0.5000, 0.0000, 0.0000)
Se (0.0000, 0.0000, 0.5000)
Te (0.5000, 0.5000, 0.5000)
C (0.0000, 0.0000, 0.0000)

Properties
The energy above the most stable polymorph in this dataset is 0.00 eV/f.u. The density of states at the Fermi level comes out at 3.12 states/eV/f.u. The symmetry is Pm-3m, No. 221. As for the raw formation energy: 1.026 eV per atom.

Record 18
Compound: SrNi2Pd2
Source: the Alexandria database
Functional: PBE
Structure: optimized geometry

Unit cell a=4.2759 b=4.2759 c=5.8365 alpha=68.51 beta=68.51 gamma=90.00
Site moments in Bohr magnetons follow the coordinates.
Atoms (fractional coordinates):
Pd (0.7500, 0.2500, 0.5000)  0.12
Pd (0.2500, 0.7500, 0.5000)  0.12
Sr (0.0000, 0.0000, 0.0000)  -0.02
Ni (0.3870, 0.3870, 0.2260)  0.60
Ni (0.6130, 0.6130, 0.7740)  0.60

Properties
The energy above the most stable polymorph in this dataset is 0.00 eV/f.u. The density of states at the Fermi level comes out at 6.53 states/eV/f.u. The symmetry is I4/mmm, No. 139.

Record 19
Compound: HgIrPb
Source: the Alexandria database
Functional: PBE
Structure: optimized geometry

Unit cell a=3.1851 b=3.1851 c=7.6843 alpha=90.00 beta=90.00 gamma=120.00
Atoms (fractional coordinates):
Hg (0.0000, 0.0000, 0.0439)
Pb (0.3333, 0.6667, 0.6194)
Ir (0.6667, 0.3333, 0.3366)

Properties
The energy above the most stable polymorph in this dataset is 0.61 eV/f.u. The density of states at the Fermi level comes out at 1.76 states/eV/f.u. The symmetry is P3m1, No. 156.

Record 20
Compound: Tb4Nd5Tl
Source: the Alexandria database
Functional: PBE
Structure: optimized geometry

Unit cell a=6.0286 b=8.1361 c=8.1361 alpha=82.11 beta=68.25 gamma=68.25
Atoms (fractional coordinates):
Tl (0.1880, 0.0000, 0.0000)
Nd (0.7624, 0.3757, 0.9999)
Nd (0.1379, 0.6243, 0.0001)
Nd (0.7623, 0.0001, 0.3757)
Nd (0.6659, 0.0000, 0.0000)
Nd (0.1381, 0.9999, 0.6243)
Tb (0.7825, 0.6815, 0.6814)
Tb (0.1454, 0.3185, 0.3186)
Tb (0.4640, 0.6814, 0.3185)
Tb (0.4639, 0.3186, 0.6815)

Properties
The energy above the most stable polymorph in this dataset is 1.36 eV/f.u. The density of states at the Fermi level comes out at 14.18 states/eV/f.u. The symmetry is I4mm, No. 107.